Record 1
Material: CaTe2HRh
Method: DFT, PBE
State: relaxed

As for the raw total energy: -4.33 eV/atom. The value obtained for the total magnetization is 0.0 Bohr magnetons per cell. The value obtained for the volume is 21.06 Å³ per atom.

The structure belongs to space group P4/mmm (No. 123); the cell edges are 5.463, 5.463 and 3.529 Å and the angles 90.00°, 90.00° and 90.00°. The inequivalent atoms are Ca at (0.000, 0.000, 0.000), Te at (0.000, 0.500, 0.500), H at (0.500, 0.500, 0.000) and Rh at (0.500, 0.500, 0.500).


Record 2
Material: Ca2TlH6Rh
Method: DFT, PBE
State: relaxed

As for the raw total energy: -3.80 eV/atom. The value obtained for the total magnetization is 0.0 Bohr magnetons per cell. The value obtained for the volume is 13.81 Å³ per atom.

The structure belongs to space group P-3m1 (No. 164); the cell edges are 4.7650, 4.7650 and 7.0226 Å and the angles 90.00°, 90.00° and 120.00°. The inequivalent atoms are Ca at (0.3333, 0.6667, 0.3047), Tl at (0.0000, 0.0000, 0.0000), H at (0.1678, 0.3357, 0.6343) and Rh at (0.0000, 0.0000, 0.5000).


Record 3
Material: CaTlHRh2
Method: DFT, PBE
State: relaxed

As for the raw total energy: -4.69 eV/atom. The value obtained for the total magnetization is 0.0 Bohr magnetons per cell. The value obtained for the volume is 15.23 Å³ per atom.

The structure belongs to space group P4/mmm (No. 123); the cell edges are 4.250, 4.250 and 4.216 Å and the angles 90.00°, 90.00° and 90.00°. The inequivalent atoms are Ca at (0.000, 0.000, 0.000), Tl at (0.500, 0.500, 0.000), H at (0.000, 0.000, 0.500) and Rh at (0.000, 0.500, 0.500).


Record 4
Material: Ca2TlH12Rh3
Method: DFT, PBE
State: relaxed

As for the raw total energy: -3.98 eV/atom. The value obtained for the total magnetization is 0.0 Bohr magnetons per cell. The value obtained for the volume is 10.00 Å³ per atom.

The structure belongs to space group R-3m (No. 166, hexagonal axes); the cell edges are 6.2222, 6.2222 and 16.1023 Å and the angles 90.00°, 90.00° and 120.00°. The inequivalent atoms are Ca at (0.0000, 0.0000, 0.1105), Tl at (0.0000, 0.0000, 0.5000), H at (0.0336, 0.5168, 0.3125), H at (0.0754, 0.5377, 0.8987) and Rh at (0.0000, 0.5000, 0.0000).